{"formula": "KAsPO2", "functional": "PBE", "state": "relaxed", "lattice": [[-3.4910, 1.0505, -1.9237], [-2.1514, -2.3339, 2.6297], [-0.4884, 3.7665, 2.9433]], "species": ["As", "P", "O", "O", "K"], "fractional_positions": [[0.0000, 0.0000, 0.0000], [0.0000, 0.0000, 0.5000], [0.5000, 0.0000, 0.0000], [0.0000, 0.5000, 0.0000], [0.5000, 0.5000, 0.5000]], "e_above_lowest_polymorph_mev_per_atom": 0.0, "crystal_system": "tetragonal", "total_magnetization_mub_per_fu": 1.79}